[1]
Si2SnIr2, relaxed, DFT PBE-GGA; magnetization = 0.0 μB per formula unit; crystal system = tetragonal; electronic total energy = -6.756 eV per atom; volume = 157.1 Å³/cell; space group = P4/mbm, No. 127; raw formation energy = -242 meV/atom
1.0
7.4687 0.0000 0.0000
0.0000 7.4687 0.0000
0.0000 0.0000 2.8159
Si Sn Ir
4 2 4
direct
0.1444 0.3556 0.0000
0.3556 0.8556 0.0000
0.6444 0.1444 0.0000
0.8556 0.6444 0.0000
0.0000 0.0000 0.5000
0.5000 0.5000 0.5000
0.1425 0.6425 0.5000
0.3575 0.1425 0.5000
0.6425 0.8575 0.5000
0.8575 0.3575 0.5000

[2]
SiSn2Ir, relaxed, DFT PBE-GGA; magnetization = 0.0 μB per formula unit; crystal system = tetragonal; electronic total energy = -5.183 eV per atom; volume = 220.0 Å³/cell; space group = I-42d, No. 122; raw formation energy = 389 meV/atom
1.0
-3.0658 3.0658 5.8524
3.0658 -3.0658 5.8524
3.0658 3.0658 -5.8524
Si Sn Ir
2 4 2
direct
0.0000 0.0000 0.0000
0.7500 0.2500 0.5000
0.1328 0.6250 0.0078
0.3750 0.3828 0.5078
0.6172 0.1250 0.9922
0.8750 0.8672 0.4922
0.2500 0.7500 0.5000
0.5000 0.5000 0.0000

[3]
Tb2Si2SnIr5, relaxed, DFT PBE-GGA; magnetization = 0.0 μB per formula unit; crystal system = tetragonal; electronic total energy = -7.654 eV per atom; volume = 342.8 Å³/cell; space group = P4/mbm, No. 127; raw formation energy = -812 meV/atom
1.0
9.7338 0.0000 0.0000
0.0000 9.7338 0.0000
0.0000 0.0000 3.6182
Tb Si Sn Ir
4 4 2 10
direct
0.1764 0.3236 0.0000
0.3236 0.8236 0.0000
0.6764 0.1764 0.0000
0.8236 0.6764 0.0000
0.1217 0.6217 0.0000
0.3783 0.1217 0.0000
0.6217 0.8783 0.0000
0.8783 0.3783 0.0000
0.0000 0.0000 0.0000
0.5000 0.5000 0.0000
0.0000 0.5000 0.5000
0.0683 0.7826 0.5000
0.2174 0.0683 0.5000
0.2826 0.5683 0.5000
0.4317 0.2826 0.5000
0.5000 0.0000 0.5000
0.5683 0.7174 0.5000
0.7174 0.4317 0.5000
0.7826 0.9317 0.5000
0.9317 0.2174 0.5000

[4]
Tm2Si2SnIr5, relaxed, DFT PBE-GGA; magnetization = 0.0 μB per formula unit; crystal system = tetragonal; electronic total energy = -7.660 eV per atom; volume = 335.5 Å³/cell; space group = P4/mbm, No. 127; raw formation energy = -850 meV/atom
1.0
9.6466 0.0000 0.0000
0.0000 9.6466 0.0000
0.0000 0.0000 3.6051
Tm Si Sn Ir
4 4 2 10
direct
0.1756 0.3244 0.0000
0.3244 0.8244 0.0000
0.6756 0.1756 0.0000
0.8244 0.6756 0.0000
0.1224 0.6224 0.0000
0.3776 0.1224 0.0000
0.6224 0.8776 0.0000
0.8776 0.3776 0.0000
0.0000 0.0000 0.0000
0.5000 0.5000 0.0000
0.0000 0.5000 0.5000
0.0691 0.7842 0.5000
0.2158 0.0691 0.5000
0.2842 0.5691 0.5000
0.4309 0.2842 0.5000
0.5000 0.0000 0.5000
0.5691 0.7158 0.5000
0.7158 0.4309 0.5000
0.7842 0.9309 0.5000
0.9309 0.2158 0.5000